# Sr2Mg3In

A relaxed Sr2Mg3In crystal (GGA-PBE, the Alexandria database).

Unit cell a=10.950 b=6.288 c=6.425 alpha=90.00 beta=124.61 gamma=90.00
Atoms (fractional coordinates):
Sr  0.127  0.000  0.381
Sr  0.373  0.500  0.619
Sr  0.627  0.500  0.381
Sr  0.873  0.000  0.619
Mg  0.000  0.500  0.000
Mg  0.250  0.250  0.000
Mg  0.250  0.750  0.000
Mg  0.500  0.000  0.000
Mg  0.750  0.250  0.000
Mg  0.750  0.750  0.000
In  0.000  0.500  0.500
In  0.500  0.000  0.500

Properties
spin magnetization = 0.00 μB per formula unit
formation energy from the elements = -0.216 eV/atom